Record 1
This record from Alexandria describes crystalline YZnGeAu at its relaxed geometry. The functional is PBE.

Computed properties:
density = 8.8 g cm⁻³
DOS(E_F) = 4.31 states/eV/cell
raw total energy = -4.37 eV per atom
calculated formation energy = -459.4 meV/atom

Cell and atoms, written as POSCAR:
```
YZnGeAu
1.0
6.8490 0.0000 0.0000
0.0000 6.8490 0.0000
0.0000 0.0000 6.8490
Y Zn Ge Au
4 4 4 4
Cartesian
0.0000 0.0000 0.0000 Y
0.0000 3.4245 3.4245 Y
3.4245 0.0000 3.4245 Y
3.4245 3.4245 0.0000 Y
0.0000 0.0000 3.4245 Zn
0.0000 3.4245 0.0000 Zn
3.4245 0.0000 0.0000 Zn
3.4245 3.4245 3.4245 Zn
1.7122 1.7122 1.7122 Ge
1.7122 5.1367 5.1367 Ge
5.1367 1.7122 5.1367 Ge
5.1367 5.1367 1.7122 Ge
1.7122 1.7122 5.1367 Au
1.7122 5.1367 1.7122 Au
5.1367 1.7122 1.7122 Au
5.1367 5.1367 5.1367 Au
```

Record 2
This record from Alexandria describes crystalline ZnGeAu3 at its relaxed geometry. The functional is PBE.

Computed properties:
density = 10.8 g cm⁻³
DOS(E_F) = 2.30 states/eV/cell
raw total energy = -2.68 eV per atom
energy relative to the lowest polymorph listed for this composition = 0.483 eV/atom
calculated formation energy = 468.9 meV/atom

Cell and atoms, written as POSCAR:
```
ZnGeAu3
1.0
4.8262 0.0000 0.0000
0.0000 4.8262 0.0000
0.0000 0.0000 4.8262
Zn Ge Au
1 1 3
Cartesian
0.0000 0.0000 0.0000 Zn
2.4131 2.4131 2.4131 Ge
0.0000 0.0000 2.4131 Au
0.0000 2.4131 0.0000 Au
2.4131 0.0000 0.0000 Au
```

Record 3
This record from Alexandria describes crystalline ZnGeAu2 at its relaxed geometry. The functional is PBE.

Computed properties:
density = 11.5 g cm⁻³
DOS(E_F) = 6.54 states/eV/cell
raw total energy = -3.10 eV per atom
calculated formation energy = 16.3 meV/atom

Cell and atoms, written as POSCAR:
```
ZnGeAu2
1.0
4.1764 0.0000 0.0000
0.0000 4.1764 0.0000
0.0000 0.0000 17.5473
Zn Ge Au
4 4 8
Cartesian
0.0000 0.0000 0.0000 Zn
0.0000 2.0882 4.3868 Zn
2.0882 0.0000 13.1605 Zn
2.0882 2.0882 8.7737 Zn
0.0000 0.0000 8.7737 Ge
0.0000 2.0882 13.1605 Ge
2.0882 0.0000 4.3868 Ge
2.0882 2.0882 0.0000 Ge
1.0388 1.0441 10.9671 Au
1.0441 3.1270 15.3539 Au
1.0441 3.1376 6.5802 Au
1.0494 1.0441 2.1934 Au
3.1270 3.1323 2.1934 Au
3.1323 1.0388 6.5802 Au
3.1323 1.0494 15.3539 Au
3.1376 3.1323 10.9671 Au
```

Record 4
This record from Alexandria describes crystalline Zn2GeAu2 at its relaxed geometry. The functional is PBE.

Computed properties:
density = 11.3 g cm⁻³
DOS(E_F) = 2.96 states/eV/cell
raw total energy = -2.79 eV per atom
energy relative to the lowest polymorph listed for this composition = 0.023 eV/atom
calculated formation energy = -47.4 meV/atom

Cell and atoms, written as POSCAR:
```
Zn2GeAu2
1.0
7.8157 0.0000 0.0000
0.0000 7.8157 0.0000
0.0000 0.0000 2.8856
Zn Ge Au
4 2 4
Cartesian
0.9616 2.9463 0.0000 Zn
2.9463 6.8541 0.0000 Zn
4.8694 0.9616 0.0000 Zn
6.8541 4.8694 0.0000 Zn
0.0000 0.0000 0.0000 Ge
3.9078 3.9078 0.0000 Ge
1.3574 5.2652 1.4428 Au
2.5504 1.3574 1.4428 Au
5.2652 6.4583 1.4428 Au
6.4583 2.5504 1.4428 Au
```

Record 5
This record from Alexandria describes crystalline Zn2GeAu2 at its relaxed geometry. The functional is PBE.

Computed properties:
density = 11.3 g cm⁻³
DOS(E_F) = 3.39 states/eV/cell
raw total energy = -2.81 eV per atom
energy relative to the lowest polymorph listed for this composition = 0.000 eV/atom
calculated formation energy = -70.5 meV/atom

Cell and atoms, written as POSCAR:
```
Zn2GeAu2
1.0
7.8160 0.0000 0.0000
0.0000 7.8160 0.0000
0.0000 0.0000 2.8810
Zn Ge Au
4 2 4
Cartesian
1.2576 2.6504 0.0000 Zn
2.6504 6.5584 0.0000 Zn
5.1656 1.2576 0.0000 Zn
6.5584 5.1656 0.0000 Zn
0.0000 0.0000 1.4405 Ge
3.9080 3.9080 1.4405 Ge
1.0810 4.9890 1.4405 Au
2.8270 1.0810 1.4405 Au
4.9890 6.7350 1.4405 Au
6.7350 2.8270 1.4405 Au
```

Record 6
This record from Alexandria describes crystalline ZnGeAu14 at its relaxed geometry. The functional is PBE.

Computed properties:
density = 16.7 g cm⁻³
DOS(E_F) = 5.04 states/eV/cell
raw total energy = -3.23 eV per atom
calculated formation energy = 8.3 meV/atom

Cell and atoms, written as POSCAR:
```
ZnGeAu14
1.0
9.5320 0.0000 0.0000
0.0000 3.1319 4.8230
0.0000 -3.1319 4.8230
Zn Ge Au
1 1 14
Cartesian
0.0000 0.0000 0.0000 Zn
0.0000 0.0000 4.8906 Ge
0.0000 -1.5372 2.4320 Au
0.0000 1.5372 2.4320 Au
2.2972 -1.5826 5.4634 Au
2.2972 1.5826 5.4634 Au
2.3306 0.0000 7.8966 Au
2.4119 0.0000 3.0709 Au
4.7660 -1.5897 3.7526 Au
4.7660 0.0000 1.3368 Au
4.7660 0.0000 6.1435 Au
4.7660 1.5897 3.7526 Au
7.1201 0.0000 3.0709 Au
7.2014 0.0000 7.8966 Au
7.2348 -1.5826 5.4634 Au
7.2348 1.5826 5.4634 Au
```

Record 7
This record from Alexandria describes crystalline ZnGeAu2 at its relaxed geometry. The functional is PBE.

Computed properties:
density = 11.4 g cm⁻³
DOS(E_F) = 3.38 states/eV/cell
raw total energy = -3.10 eV per atom
calculated formation energy = 8.7 meV/atom

Cell and atoms, written as POSCAR:
```
ZnGeAu2
1.0
4.1744 0.0000 0.0000
-2.0872 3.6152 0.0000
0.0000 0.0000 15.4120
Zn Ge Au
3 3 6
Cartesian
0.0000 0.0000 0.0000 Zn
0.0000 2.4101 10.2747 Zn
2.0872 1.2051 5.1373 Zn
0.0000 0.0000 2.7708 Ge
0.0000 2.4101 13.0455 Ge
2.0872 1.2051 7.9082 Ge
0.0000 0.0000 6.2995 Au
0.0000 0.0000 9.2159 Au
0.0000 2.4101 1.1622 Au
0.0000 2.4101 4.0786 Au
2.0872 1.2051 11.4369 Au
2.0872 1.2051 14.3533 Au
```

Record 8
This record from Alexandria describes crystalline Zn2GeAu8 at its relaxed geometry. The functional is PBE.

Computed properties:
density = 14.9 g cm⁻³
DOS(E_F) = 2.53 states/eV/cell
raw total energy = -3.11 eV per atom
energy relative to the lowest polymorph listed for this composition = 0.000 eV/atom
calculated formation energy = -72.8 meV/atom

Cell and atoms, written as POSCAR:
```
Zn2GeAu8
1.0
4.0209 -5.4062 0.0000
4.0209 5.4062 0.0000
-1.7833 0.0000 4.5484
Zn Ge Au
2 1 8
Cartesian
4.0209 3.8579 0.0000 Zn
4.0209 -3.8579 0.0000 Zn
2.0405 0.0000 1.9443 Ge
-0.6383 0.0000 2.1542 Au
0.9164 1.4624 4.1580 Au
3.1391 2.4493 2.3844 Au
0.9164 -1.4624 4.1580 Au
5.3407 1.5178 0.6503 Au
4.6494 0.0000 3.0066 Au
3.1391 -2.4493 2.3844 Au
5.3407 -1.5178 0.6503 Au
```